Density functional theory data (PBE-GGA) for SiTcRh2 after structural relaxation.

Unit cell a=2.798 b=2.798 c=6.970 alpha=90.00 beta=90.00 gamma=90.00
Fractional positions:
Si 0.000 0.000 0.000
Rh 0.500 0.500 0.786
Rh 0.500 0.500 0.214
Tc 0.000 0.000 0.500

Summary:
Crystal system: tetragonal
DOS at the Fermi energy in states/eV per cell: 4.43
E_form (uncorrected) in eV per atom: -0.365
Space-group type: No. 123
E_tot in eV/cell: -31.950